1.
The following is a PBE-GGA calculation of an optimized crystal structure of CsMgSnBi, from Alexandria.

## Properties
Space-group type = P4/nmm, No. 129
Formation enthalpy at 0 K = -22 kJ per mole of atoms

a b c (Å): 4.505 4.505 15.817
angles (deg): 90.00 90.00 90.00
Positions (direct):
Cs1 0.250 0.250 0.232
Cs2 0.750 0.750 0.768
Mg1 0.250 0.750 0.500
Mg2 0.750 0.250 0.500
Sn1 0.250 0.750 0.000
Sn2 0.750 0.250 0.000
Bi1 0.250 0.250 0.622
Bi2 0.750 0.750 0.378

---

2.
The following is a PBE-GGA calculation of an optimized crystal structure of CsMgTlBi, from Alexandria.

## Properties
Space-group type = P4/nmm, No. 129
Formation enthalpy at 0 K = -25 kJ per mole of atoms

a b c (Å): 4.703 4.703 15.588
angles (deg): 90.00 90.00 90.00
Positions (direct):
Cs1 0.250 0.250 0.249
Cs2 0.750 0.750 0.751
Mg1 0.250 0.750 0.000
Mg2 0.750 0.250 0.000
Tl1 0.250 0.750 0.500
Tl2 0.750 0.250 0.500
Bi1 0.250 0.250 0.882
Bi2 0.750 0.750 0.118

---

3.
The following is a PBE-GGA calculation of an optimized crystal structure of CsMgTl2Bi, from Alexandria.

## Properties
Space-group type = P4/mmm, No. 123
Formation enthalpy at 0 K = -1 kJ per mole of atoms

a b c (Å): 5.848 5.848 5.756
angles (deg): 90.00 90.00 90.00
Positions (direct):
Cs1 0.000 0.000 0.000
Mg1 0.500 0.500 0.500
Tl1 0.000 0.500 0.500
Tl2 0.500 0.000 0.500
Bi1 0.500 0.500 0.000

---

4.
The following is a PBE-GGA calculation of an optimized crystal structure of CsMnBi3, from Alexandria.

## Properties
Space-group type = Pm-3m, No. 221
Formation enthalpy at 0 K = 12 kJ per mole of atoms
Energy above the most stable polymorph in this dataset = 0.0000 eV/atom

a b c (Å): 5.577 5.577 5.577
angles (deg): 90.00 90.00 90.00
Positions (direct):
Cs1 0.000 0.000 0.000
Mn1 0.500 0.500 0.500
Bi1 0.000 0.500 0.500
Bi2 0.500 0.000 0.500
Bi3 0.500 0.500 0.000

---

5.
The following is a PBE-GGA calculation of an optimized crystal structure of Cs2MnBi, from Alexandria.

## Properties
Space-group type = Fm-3m, No. 225
Formation enthalpy at 0 K = 56 kJ per mole of atoms

a b c (Å): 8.677 8.677 8.677
angles (deg): 90.00 90.00 90.00
Positions (direct):
Cs1 0.250 0.250 0.250
Cs2 0.250 0.250 0.750
Cs3 0.250 0.750 0.250
Cs4 0.250 0.750 0.750
Cs5 0.750 0.250 0.250
Cs6 0.750 0.250 0.750
Cs7 0.750 0.750 0.250
Cs8 0.750 0.750 0.750
Mn1 0.000 0.000 0.000
Mn2 0.000 0.500 0.500
Mn3 0.500 0.000 0.500
Mn4 0.500 0.500 0.000
Bi1 0.000 0.000 0.500
Bi2 0.000 0.500 0.000
Bi3 0.500 0.000 0.000
Bi4 0.500 0.500 0.500

---

6.
The following is a PBE-GGA calculation of an optimized crystal structure of CsMnBi2, from Alexandria.

## Properties
Space-group type = Fm-3m, No. 225
Formation enthalpy at 0 K = 47 kJ per mole of atoms
Energy above the most stable polymorph in this dataset = 0.4917 eV/atom

a b c (Å): 8.052 8.052 8.052
angles (deg): 90.00 90.00 90.00
Positions (direct):
Cs1 0.000 0.000 0.000
Cs2 0.000 0.500 0.500
Cs3 0.500 0.000 0.500
Cs4 0.500 0.500 0.000
Mn1 0.000 0.000 0.500
Mn2 0.000 0.500 0.000
Mn3 0.500 0.000 0.000
Mn4 0.500 0.500 0.500
Bi1 0.250 0.250 0.250
Bi2 0.250 0.250 0.750
Bi3 0.250 0.750 0.250
Bi4 0.250 0.750 0.750
Bi5 0.750 0.250 0.250
Bi6 0.750 0.250 0.750
Bi7 0.750 0.750 0.250
Bi8 0.750 0.750 0.750

---

- The highest formation enthalpy at 0 K belongs to which entry?
  Cs2MnBi